1.
DFT (PBE) results for a relaxed structure of ZrCdRu2.

Calculated values
Total DFT energy (no corrections)   -27.57 eV/cell
SG   No. 166
Magnetic moment   0.00 μB per atom
Crystal system   trigonal

Unit cell a=8.774 b=8.774 c=8.774 alpha=20.37 beta=20.37 gamma=20.37
Positions (direct):
Cd  0.750  0.750  0.750
Ru  0.995  0.995  0.995
Ru  0.505  0.505  0.505
Zr  0.250  0.250  0.250

=====

2.
DFT (PBE) results for a relaxed structure of ErTmCuOs.

Calculated values
Total DFT energy (no corrections)   -25.64 eV/cell
SG   No. 216
Magnetic moment   0.05 μB per atom
Crystal system   cubic

Unit cell a=4.798 b=4.798 c=4.798 alpha=60.00 beta=60.00 gamma=60.00
Each line ends with the local moment (μB).
Positions (direct):
Tm  0.500  0.500  0.500  0.05
Os  0.750  0.750  0.750  0.03
Cu  0.250  0.250  0.250  0.02
Er  0.000  0.000  0.000  0.06

=====

3.
DFT (PBE) results for a relaxed structure of RbMgTl2.

Calculated values
SG   No. 123
Energy relative to the lowest polymorph listed for this composition   0 meV per atom
Magnetic moment   0.00 μB per atom
Crystal system   tetragonal

Unit cell a=3.779 b=3.779 c=8.966 alpha=90.00 beta=90.00 gamma=90.00
Positions (direct):
Tl  0.000  0.000  0.806
Tl  0.000  0.000  0.194
Mg  0.500  0.500  0.000
Rb  0.500  0.500  0.500

=====

4.
DFT (PBE) results for a relaxed structure of Sm2TeBr3.

Calculated values
Uncorrected formation energy   -1601 meV/atom
SG   No. 12
Magnetic moment   0.12 μB per atom
Crystal system   monoclinic

Unit cell a=4.272 b=9.506 c=11.221 alpha=83.45 beta=79.03 gamma=77.02
Each line ends with the local moment (μB).
Positions (direct):
Sm  0.869  0.421  0.840  0.12
Sm  0.131  0.579  0.160  0.12
Sm  0.609  0.220  0.561  0.24
Sm  0.391  0.780  0.439  0.24
Te  0.401  0.535  0.663  -0.01
Te  0.599  0.465  0.337  -0.01
Br  0.057  0.138  0.749  0.00
Br  0.943  0.862  0.251  0.00
Br  0.668  0.685  0.978  0.00
Br  0.332  0.315  0.022  0.00
Br  0.760  0.881  0.600  0.00
Br  0.240  0.119  0.400  0.00

=====

5.
DFT (PBE) results for a relaxed structure of CePrAl2.

Calculated values
SG   No. 123
Energy relative to the lowest polymorph listed for this composition   52 meV per atom
Magnetic moment   0.07 μB per atom
Crystal system   tetragonal

Unit cell a=3.414 b=3.414 c=8.581 alpha=90.00 beta=90.00 gamma=90.00
Each line ends with the local moment (μB).
Positions (direct):
Pr  0.500  0.500  0.500  0.00
Al  0.000  0.000  0.755  0.00
Al  0.000  0.000  0.245  0.00
Ce  0.500  0.500  0.000  0.27

=====

6.
DFT (PBE) results for a relaxed structure of Ag13Pt2.

Calculated values
Total DFT energy (no corrections)   -48.98 eV/cell
SG   No. 2
Magnetic moment   0.00 μB per atom
Crystal system   triclinic

Unit cell a=5.049 b=7.152 c=8.729 alpha=123.14 beta=94.89 gamma=90.30
Positions (direct):
Pt  0.935  0.729  0.600
Pt  0.065  0.271  0.400
Ag  0.667  0.663  0.999
Ag  0.333  0.337  0.001
Ag  0.000  0.000  0.000
Ag  0.262  0.067  0.598
Ag  0.738  0.933  0.402
Ag  0.132  0.532  0.795
Ag  0.868  0.468  0.205
Ag  0.398  0.603  0.403
Ag  0.602  0.397  0.597
Ag  0.467  0.866  0.798
Ag  0.533  0.134  0.202
Ag  0.801  0.195  0.800
Ag  0.199  0.805  0.200

=====

7.
DFT (PBE) results for a relaxed structure of Rh3W.

Calculated values
Total DFT energy (no corrections)   -34.55 eV/cell
SG   No. 225
Magnetic moment   0.00 μB per atom
Crystal system   cubic

Unit cell a=4.376 b=4.376 c=4.376 alpha=60.00 beta=60.00 gamma=60.00
Positions (direct):
Rh  0.250  0.250  0.250
Rh  0.750  0.750  0.750
Rh  0.000  0.000  0.000
W  0.500  0.500  0.500

=====

8.
DFT (PBE) results for a relaxed structure of Te2W3S4.

Calculated values
Uncorrected formation energy   -503 meV/atom
SG   No. 187
Magnetic moment   0.00 μB per atom
Crystal system   hexagonal

Unit cell a=3.300 b=3.300 c=26.844 alpha=90.00 beta=90.00 gamma=120.00
Positions (direct):
Te  0.000  0.000  0.072
Te  0.000  0.000  0.928
W  0.000  0.000  0.726
W  0.000  0.000  0.274
W  0.333  0.667  0.000
S  0.333  0.667  0.668
S  0.333  0.667  0.217
S  0.333  0.667  0.783
S  0.333  0.667  0.332

=====

9.
DFT (PBE) results for a relaxed structure of FePAuS2.

Calculated values
Uncorrected formation energy   1202 meV/atom
SG   No. 123
Energy relative to the lowest polymorph listed for this composition   611 meV per atom
Magnetic moment   0.70 μB per atom
Crystal system   tetragonal

Unit cell a=4.938 b=4.938 c=4.611 alpha=90.00 beta=90.00 gamma=90.00
Each line ends with the local moment (μB).
Positions (direct):
P  0.000  0.000  0.500  -0.10
S  0.000  0.500  0.000  0.05
S  0.500  0.000  0.000  0.05
Au  0.000  0.000  0.000  -0.01
Fe  0.500  0.500  0.500  3.40

=====

10.
DFT (PBE) results for a relaxed structure of SrLa3Sm2Se6.

Calculated values
Uncorrected formation energy   -1928 meV/atom
SG   No. 12
Magnetic moment   0.00 μB per atom
Crystal system   monoclinic

Unit cell a=7.412 b=7.412 c=7.421 alpha=99.55 beta=99.55 gamma=120.06
Positions (direct):
Sr  0.000  0.000  0.000
La  0.164  0.836  0.500
La  0.836  0.164  0.500
La  0.500  0.500  0.500
Sm  0.333  0.667  0.000
Sm  0.667  0.333  0.000
Se  0.918  0.580  0.755
Se  0.742  0.742  0.241
Se  0.082  0.420  0.245
Se  0.580  0.918  0.755
Se  0.258  0.258  0.759
Se  0.420  0.082  0.245

=====

11.
DFT (PBE) results for a relaxed structure of AlSbOs2.

Calculated values
Uncorrected formation energy   408 meV/atom
SG   No. 160
Energy relative to the lowest polymorph listed for this composition   335 meV per atom
Magnetic moment   0.00 μB per atom
Crystal system   trigonal

Unit cell a=8.655 b=8.655 c=8.655 alpha=20.10 beta=20.10 gamma=20.10
Positions (direct):
Sb  0.503  0.503  0.503
Os  0.001  0.001  0.001
Os  0.254  0.254  0.254
Al  0.742  0.742  0.742

=====

12.
DFT (PBE) results for a relaxed structure of Tb2TmTh.

Calculated values
SG   No. 225
Energy relative to the lowest polymorph listed for this composition   148 meV per atom
Magnetic moment   0.00 μB per atom
Crystal system   cubic

Unit cell a=5.655 b=5.655 c=5.655 alpha=60.00 beta=60.00 gamma=60.00
Positions (direct):
Tm  0.500  0.500  0.500
Tb  0.250  0.250  0.250
Tb  0.750  0.750  0.750
Th  0.000  0.000  0.000